No. 1
Entry from Alexandria: an optimized crystal structure of PaGaCo4 (GGA-PBE).

Unit cell a=4.1677 b=6.3741 c=8.1711 alpha=123.16 beta=90.00 gamma=109.08
Site moments in Bohr magnetons follow the coordinates.
Positions (direct):
Pa (0.2500, 0.0000, 0.2500)  -0.18
Co (0.5491, 0.5983, 0.3484)  0.57
Co (0.6900, 0.8800, 0.9782)  0.12
Ga (0.0000, 0.5000, 0.5000)  -0.03
Co (0.4509, 0.4017, 0.6516)  0.57
Co (0.0491, 0.5983, 0.8484)  0.57
Ga (0.5000, 0.5000, 0.0000)  -0.03
Co (0.8100, 0.1200, 0.5218)  0.12
Co (0.3100, 0.1200, 0.0218)  0.12
Pa (0.7500, 0.0000, 0.7500)  -0.18
Co (0.9509, 0.4017, 0.1516)  0.57
Co (0.1900, 0.8800, 0.4782)  0.12

Calculated values
Symmetry = C2/m, No. 12
Excess energy over the best structure of this formula in the dataset = 0.0300 eV per atom


No. 2
Entry from Alexandria: an optimized crystal structure of Ce2HPt (GGA-PBE).

Unit cell a=3.8390 b=3.8390 c=6.9698 alpha=74.01 beta=74.01 gamma=60.00
Site moments in Bohr magnetons follow the coordinates.
Positions (direct):
Pt (0.6670, 0.6670, 0.9989)  -0.03
H (0.4975, 0.4975, 0.5075)  -0.01
Ce (0.2424, 0.2424, 0.2727)  0.63
Ce (0.0931, 0.0931, 0.7208)  0.61

Calculated values
Symmetry = R3m, No. 160
Excess energy over the best structure of this formula in the dataset = 0.1382 eV per atom


No. 3
Entry from Alexandria: an optimized crystal structure of Pb2I3Br (GGA-PBE).

Unit cell a=7.4355 b=9.2110 c=9.2110 alpha=120.00 beta=90.00 gamma=90.00
Positions (direct):
Br (0.7879, 0.6667, 0.3333)
Br (0.2121, 0.3333, 0.6667)
Pb (0.0000, 0.5000, 0.5000)
I (0.7440, 0.1661, 0.3322)
I (0.2560, 0.3322, 0.1661)
I (0.7440, 0.6678, 0.8339)
Pb (0.0000, 0.5000, 0.0000)
Pb (0.0000, 0.0000, 0.5000)
I (0.7440, 0.1661, 0.8339)
I (0.2560, 0.8339, 0.6678)
I (0.2560, 0.8339, 0.1661)
Pb (0.0000, 0.0000, 0.0000)

Calculated values
Uncorrected formation energy = -0.714 eV per atom
Symmetry = P-3m1, No. 164


No. 4
Entry from Alexandria: an optimized crystal structure of CsBaTl2O4 (GGA-PBE).

Unit cell a=4.5676 b=4.5676 c=8.2875 alpha=90.00 beta=90.00 gamma=90.00
Positions (direct):
O (0.0000, 0.5000, 0.7873)
O (0.0000, 0.5000, 0.2127)
O (0.5000, 0.0000, 0.7873)
Ba (0.0000, 0.0000, 0.0000)
O (0.5000, 0.0000, 0.2127)
Tl (0.5000, 0.5000, 0.7726)
Cs (0.0000, 0.0000, 0.5000)
Tl (0.5000, 0.5000, 0.2274)

Calculated values
Uncorrected formation energy = -1.185 eV per atom
Symmetry = P4/mmm, No. 123


No. 5
Entry from Alexandria: an optimized crystal structure of Sn2BiW (GGA-PBE).

Unit cell a=6.4494 b=6.4494 c=8.1990 alpha=66.84 beta=66.84 gamma=90.00
Site moments in Bohr magnetons follow the coordinates.
Positions (direct):
W (0.5000, 0.5000, 0.0000)  1.03
W (0.2500, 0.7500, 0.5000)  1.02
Sn (0.8750, 0.8247, 0.7500)  -0.06
Bi (0.0000, 0.0000, 0.0000)  0.07
Sn (0.5747, 0.1250, 0.2500)  -0.05
Sn (0.1753, 0.6250, 0.2500)  -0.05
Bi (0.7500, 0.2500, 0.5000)  0.06
Sn (0.3750, 0.4253, 0.7500)  -0.06

Calculated values
Symmetry = I-42d, No. 122


No. 6
Entry from Alexandria: an optimized crystal structure of Ba2Sn3Bi3 (GGA-PBE).

Unit cell a=5.7317 b=6.8923 c=16.1986 alpha=90.00 beta=90.00 gamma=114.57
Positions (direct):
Bi (0.9546, 0.9092, 0.4053)
Bi (0.2894, 0.5788, 0.7500)
Bi (0.0454, 0.0908, 0.5947)
Bi (0.9546, 0.9092, 0.0947)
Ba (0.2483, 0.4965, 0.3955)
Sn (0.4600, 0.9201, 0.2500)
Sn (0.4350, 0.8699, 0.9177)
Sn (0.5650, 0.1301, 0.4177)
Bi (0.7106, 0.4212, 0.2500)
Ba (0.2483, 0.4965, 0.1045)
Ba (0.7517, 0.5035, 0.8955)
Ba (0.7517, 0.5035, 0.6045)
Bi (0.0454, 0.0908, 0.9053)
Sn (0.5400, 0.0799, 0.7500)
Sn (0.5650, 0.1301, 0.0823)
Sn (0.4350, 0.8699, 0.5823)

Calculated values
Symmetry = Cmcm, No. 63


Per-record DOS(E_F), states/eV/atom: 1.1117; 2.3047; 0.0000; 0.0620; 0.6211; 0.3665
Per-record electronic total energy, eV/cell: -84.62; -23.36; -36.04; -36.82; -41.45; -61.04